DFT (SCAN) results for a crystal of Li2EuSn relaxed with PBEsol.

It has space group Fm-3m (No. 225), with a = 6.9236 Å, b = 6.9236 Å, c = 6.9236 Å, α = 90.00°, β = 90.00° and γ = 90.00°. The asymmetric unit holds Li at (0.2500, 0.2500, 0.2500), Eu at (0.0000, 0.0000, 0.0000) and Sn at (0.0000, 0.0000, 0.5000).

The value obtained for the total energy is -386.4 eV/cell.



DFT (SCAN) results for a crystal of LiEuTl2 relaxed with PBEsol.

It has space group Fm-3m (No. 225), with a = 7.3632 Å, b = 7.3632 Å, c = 7.3632 Å, α = 90.00°, β = 90.00° and γ = 90.00°. The asymmetric unit holds Li at (0.0000, 0.0000, 0.0000), Eu at (0.0000, 0.0000, 0.5000) and Tl at (0.2500, 0.2500, 0.2500).

The value obtained for the total energy is -810.9 eV/cell.



DFT (SCAN) results for a crystal of Eu2LuTaO6 relaxed with PBEsol.

It has space group Fm-3m (No. 225), with a = 8.1929 Å, b = 8.1929 Å, c = 8.1929 Å, α = 90.00°, β = 90.00° and γ = 90.00°. The asymmetric unit holds Eu at (0.2500, 0.2500, 0.2500), Lu at (0.0000, 0.0000, 0.0000), Ta at (0.0000, 0.0000, 0.5000) and O at (0.0000, 0.0000, 0.2590).

Its raw formation energy is -330.6 kJ per mole of atoms. The value obtained for the total energy is -1204.0 eV/cell.



DFT (SCAN) results for a crystal of EuLu2Se4 relaxed with PBEsol.

It has space group Pnma (No. 62), with a = 12.1510 Å, b = 3.9917 Å, c = 14.4490 Å, α = 90.00°, β = 90.00° and γ = 90.00°. The asymmetric unit holds Eu at (0.2403, 0.2500, 0.1668), Lu at (0.0619, 0.2500, 0.3893), Lu at (0.0839, 0.2500, 0.9036), Se at (0.0277, 0.7500, 0.7847), Se at (0.0930, 0.2500, 0.5781), Se at (0.1316, 0.7500, 0.0322) and Se at (0.2051, 0.7500, 0.3269).

Its raw formation energy is -207.3 kJ per mole of atoms. The value obtained for the total energy is -1039.0 eV/cell.



DFT (SCAN) results for a crystal of Eu5Mg relaxed with PBEsol.

It has space group P-62m (No. 189), with a = 6.3972 Å, b = 6.3972 Å, c = 5.9409 Å, α = 90.00°, β = 90.00° and γ = 120.00°. The asymmetric unit holds Eu at (0.0000, 0.6782, 0.0000), Eu at (0.3333, 0.6667, 0.5000) and Mg at (0.0000, 0.0000, 0.5000).

The value obtained for the total energy is -273.8 eV/cell.



DFT (SCAN) results for a crystal of Eu2MgPtO6 relaxed with PBEsol.

It has space group P2_1/c (No. 14), with a = 5.4359 Å, b = 5.6256 Å, c = 9.4416 Å, α = 90.00°, β = 124.99° and γ = 90.00°. The asymmetric unit holds Eu at (0.2372, 0.0572, 0.2509), Mg at (0.5000, 0.0000, 0.0000), Pt at (0.0000, 0.0000, 0.5000), O at (0.1431, 0.2052, 0.9501), O at (0.2506, 0.6974, 0.9521) and O at (0.3431, 0.0302, 0.7472).

Its raw formation energy is -231.7 kJ per mole of atoms. The value obtained for the total energy is -488.0 eV/cell.



DFT (SCAN) results for a crystal of EuMg2P2 relaxed with PBEsol.

It has space group P-3m1 (No. 164), with a = 4.2404 Å, b = 4.2404 Å, c = 6.9277 Å, α = 90.00°, β = 90.00° and γ = 120.00°. The asymmetric unit holds Eu at (0.0000, 0.0000, 0.0000), Mg at (0.3333, 0.6667, 0.6344) and P at (0.3333, 0.6667, 0.2522).

The value obtained for the total energy is -90.1 eV/cell.



DFT (SCAN) results for a crystal of EuMg2Rh relaxed with PBEsol.

It has space group Cmcm (No. 63), with a = 4.2165 Å, b = 10.2831 Å, c = 8.1291 Å, α = 90.00°, β = 90.00° and γ = 90.00°. The asymmetric unit holds Eu at (0.0000, 0.0580, 0.2500), Mg at (0.0000, 0.3421, 0.0585) and Rh at (0.0000, 0.2299, 0.7500).

The value obtained for the total energy is -396.9 eV/cell.